No. 1
An optimized crystal structure of Tb2HfCo, computed with PBE.

Structure (CIF):
```
data_Tb2HfCo
_symmetry_space_group_name_H-M 'P 1'
_symmetry_Int_Tables_number 1
_cell_length_a 3.3198
_cell_length_b 3.3198
_cell_length_c 30.4821
_cell_angle_alpha 90.00
_cell_angle_beta 90.00
_cell_angle_gamma 120.00
loop_
_symmetry_equiv_pos_as_xyz
'x,y,z'
loop_
_atom_site_label
_atom_site_fract_x
_atom_site_fract_y
_atom_site_fract_z
_atom_site_occupancy
Tb1 0.0000 0.0000 0.1055 1
Tb2 0.0000 0.0000 0.8945 1
Tb3 0.3333 0.6667 0.5612 1
Tb4 0.3333 0.6667 0.7722 1
Tb5 0.6667 0.3333 0.2278 1
Tb6 0.6667 0.3333 0.4388 1
Hf1 0.0000 0.0000 0.0000 1
Hf2 0.3333 0.6667 0.6667 1
Hf3 0.6667 0.3333 0.3333 1
Co1 0.0000 0.0000 0.5000 1
Co2 0.3333 0.6667 0.1667 1
Co3 0.6667 0.3333 0.8333 1
```

Values from the calculation:
Volume in Å³ per cell: 291
Calculated formation energy in eV per atom: 0.409
SG: R-3m

---

No. 2
An optimized crystal structure of BeTcPt2, computed with PBE.

Structure (CIF):
```
data_BeTcPt2
_symmetry_space_group_name_H-M 'P 1'
_symmetry_Int_Tables_number 1
_cell_length_a 6.0788
_cell_length_b 6.0788
_cell_length_c 6.0788
_cell_angle_alpha 90.00
_cell_angle_beta 90.00
_cell_angle_gamma 90.00
loop_
_symmetry_equiv_pos_as_xyz
'x,y,z'
loop_
_atom_site_label
_atom_site_fract_x
_atom_site_fract_y
_atom_site_fract_z
_atom_site_occupancy
Be1 0.0000 0.0000 0.0000 1
Be2 0.0000 0.5000 0.5000 1
Be3 0.5000 0.0000 0.5000 1
Be4 0.5000 0.5000 0.0000 1
Tc1 0.2500 0.2500 0.2500 1
Tc2 0.2500 0.7500 0.7500 1
Tc3 0.7500 0.2500 0.7500 1
Tc4 0.7500 0.7500 0.2500 1
Pt1 0.0000 0.0000 0.5000 1
Pt2 0.0000 0.5000 0.0000 1
Pt3 0.2500 0.2500 0.7500 1
Pt4 0.2500 0.7500 0.2500 1
Pt5 0.5000 0.0000 0.0000 1
Pt6 0.5000 0.5000 0.5000 1
Pt7 0.7500 0.2500 0.2500 1
Pt8 0.7500 0.7500 0.7500 1
```

Values from the calculation:
Volume in Å³ per cell: 225
Calculated formation energy in eV per atom: 0.007
SG: F-43m